# 1
! PBE PaCo6SiB, relaxed; values from VASP
! Final energy, eV/atom: -7.169
! Spin magnetization, μB per atom: 0.40
! Raw formation energy, eV per formula unit: -0.29
&SYSTEM
  ibrav = 0, nat = 18, ntyp = 4
/
ATOMIC_SPECIES
Pa 231.04 Pa.upf
Co 58.93 Co.upf
Si 28.09 Si.upf
B 10.81 B.upf
CELL_PARAMETERS angstrom
-2.7129 3.9672 5.1976
2.7129 -3.9672 5.1976
2.7129 3.9672 -5.1976
ATOMIC_POSITIONS angstrom
Pa 0.0000 1.9836 1.9535
Pa 2.7129 1.9836 3.2440
Co 1.3303 -0.0495 1.3092
Co 4.0955 -0.0495 1.3092
Co 2.7129 -1.9836 4.4910
Co 2.7129 1.9836 0.1380
Co 1.3303 3.9178 -1.3092
Co 1.3826 -0.0495 3.8883
Co 1.3303 4.0167 1.3092
Co 1.3826 0.0495 6.5068
Co 0.0000 1.9836 5.0596
Co 0.0000 5.9509 0.7066
Co -1.3826 4.0167 3.8883
Co 1.3826 4.0167 3.8883
Si 1.3565 1.9836 -2.5988
Si 1.3565 -1.9836 2.5988
B 2.7129 0.0000 0.0000
B 0.0000 0.0000 5.1976

=====

# 2
! PBE Pa4Co12SiB3, relaxed; values from VASP
! Final energy, eV/atom: -7.744
! Spin magnetization, μB per atom: 0.10
! Raw formation energy, eV per formula unit: -6.17
&SYSTEM
  ibrav = 0, nat = 20, ntyp = 4
/
ATOMIC_SPECIES
Pa 231.04 Pa.upf
Co 58.93 Co.upf
Si 28.09 Si.upf
B 10.81 B.upf
CELL_PARAMETERS angstrom
-4.0363 4.0363 4.0363
4.0363 -4.0363 4.0363
4.0363 4.0363 -4.0363
ATOMIC_POSITIONS angstrom
Pa 2.0181 2.0181 -2.0181
Pa 2.0181 -2.0181 2.0181
Pa -2.0181 2.0181 2.0181
Pa 2.0181 2.0181 2.0181
Co 2.1764 0.0000 0.0000
Co 5.8962 0.0000 0.0000
Co 4.0363 2.0181 0.0000
Co 4.0363 0.0000 2.0181
Co 0.0000 2.1764 0.0000
Co 0.0000 0.0000 2.1764
Co 2.0181 4.0363 0.0000
Co 2.0181 0.0000 4.0363
Co 0.0000 5.8962 0.0000
Co 0.0000 0.0000 5.8962
Co 0.0000 4.0363 2.0181
Co 0.0000 2.0181 4.0363
Si 0.0000 0.0000 0.0000
B 4.0363 0.0000 0.0000
B 0.0000 4.0363 0.0000
B 0.0000 0.0000 4.0363